6
Lattice="5.161 -1.580 0.000 5.161 1.580 0.000 -5.077 0.000 5.756" Properties=species:S:1:pos:R:3 comment="GGA+U VGaF4, optimized geometry" m_tot_mub_per_cell=2.00 relative_energy_ev_per_atom=0.074 pbc="T T T"
V 0.000 0.000 0.000
Ga 2.623 0.000 2.878
F -1.046 0.000 1.610
F -0.984 0.000 5.044
F 6.230 0.000 0.712
F 6.292 0.000 4.146